(1)
# GGA-PBE CaMg6Tl6, optimized geometry
data_CaMg6Tl6
_cell_length_a 6.2441
_cell_length_b 6.2441
_cell_length_c 9.9135
_cell_angle_alpha 90.00
_cell_angle_beta 90.00
_cell_angle_gamma 120.00
_space_group_name_H-M_alt 'P 6/m m m'
_space_group_IT_number 191
_space_group_name_Hall '-P 6 2'
loop_
_atom_site_label
_atom_site_type_symbol
_atom_site_fract_x
_atom_site_fract_y
_atom_site_fract_z
Ca1 Ca 0.0000 0.0000 0.0000
Mg1 Mg 0.0000 0.5000 0.2470
Tl1 Tl 0.0000 0.0000 0.3417
Tl2 Tl 0.3333 0.6667 0.0000
Tl3 Tl 0.3333 0.6667 0.5000
# DFT total energy in eV per atom: -2.08
# Density in g/cm3: 7.01
# Energy of formation from the pure elements in meV/atom: -98

---

(2)
# GGA-PBE CaMg7Tl4, optimized geometry
data_CaMg7Tl4
_cell_length_a 12.581
_cell_length_b 5.771
_cell_length_c 10.775
_cell_angle_alpha 90.00
_cell_angle_beta 124.26
_cell_angle_gamma 90.00
_space_group_name_H-M_alt 'C 1 2/m 1'
_space_group_IT_number 12
_space_group_name_Hall '-C 2y'
loop_
_atom_site_label
_atom_site_type_symbol
_atom_site_fract_x
_atom_site_fract_y
_atom_site_fract_z
Ca1 Ca 0.000 0.000 0.000
Mg1 Mg 0.000 0.500 0.000
Mg2 Mg 0.094 0.000 0.437
Mg3 Mg 0.182 0.500 0.902
Mg4 Mg 0.202 0.500 0.642
Tl1 Tl 0.101 0.500 0.321
Tl2 Tl 0.189 0.000 0.773
# DFT total energy in eV per atom: -1.81
# Density in g/cm3: 5.28
# Energy of formation from the pure elements in meV/atom: 75

---

(3)
# GGA-PBE Ca2MgTl, optimized geometry
data_Ca2MgTl
_cell_length_a 10.610
_cell_length_b 3.672
_cell_length_c 6.731
_cell_angle_alpha 90.00
_cell_angle_beta 100.57
_cell_angle_gamma 90.00
_space_group_name_H-M_alt 'C 1 2/m 1'
_space_group_IT_number 12
_space_group_name_Hall '-C 2y'
loop_
_atom_site_label
_atom_site_type_symbol
_atom_site_fract_x
_atom_site_fract_y
_atom_site_fract_z
Ca1 Ca 0.246 0.000 0.241
Mg1 Mg 0.000 0.000 0.500
Tl1 Tl 0.000 0.500 0.000
# Relative energy among the computed polymorphs in meV/atom: 180.6
# DFT total energy in eV per atom: -2.10
# Density in g/cm3: 3.98
# Energy of formation from the pure elements in meV/atom: -108

---

(4)
# GGA-PBE Ca16Mg12Tl, optimized geometry
data_Ca16Mg12Tl
_cell_length_a 12.363
_cell_length_b 17.067
_cell_length_c 10.765
_cell_angle_alpha 90.00
_cell_angle_beta 124.11
_cell_angle_gamma 90.00
_space_group_name_H-M_alt 'C 1 m 1'
_space_group_IT_number 8
_space_group_name_Hall 'C -2y'
loop_
_atom_site_label
_atom_site_type_symbol
_atom_site_fract_x
_atom_site_fract_y
_atom_site_fract_z
Ca1 Ca 0.000 0.000 0.000
Ca2 Ca 0.006 0.000 0.343
Ca3 Ca 0.024 0.308 0.649
Ca4 Ca 0.047 0.379 0.350
Ca5 Ca 0.202 0.203 0.016
Ca6 Ca 0.299 0.000 0.029
Ca7 Ca 0.326 0.322 0.340
Ca8 Ca 0.349 0.346 0.738
Ca9 Ca 0.370 0.000 0.657
Ca10 Ca 0.443 0.152 0.932
Mg1 Mg 0.098 0.094 0.691
Mg2 Mg 0.146 0.500 0.163
Mg3 Mg 0.186 0.187 0.511
Mg4 Mg 0.234 0.409 0.977
Mg5 Mg 0.259 0.093 0.317
Mg6 Mg 0.332 0.500 0.522
Mg7 Mg 0.498 0.312 0.154
Tl1 Tl 0.148 0.500 0.660
# DFT total energy in eV per atom: -1.91
# Density in g/cm3: 2.01
# Energy of formation from the pure elements in meV/atom: -63

---

(5)
# GGA-PBE Ca2MgTl, optimized geometry
data_Ca2MgTl
_cell_length_a 3.7426
_cell_length_b 3.7426
_cell_length_c 32.5883
_cell_angle_alpha 90.00
_cell_angle_beta 90.00
_cell_angle_gamma 120.00
_space_group_name_H-M_alt 'R 3 m'
_space_group_IT_number 160
_space_group_name_Hall 'R 3 -2"'
loop_
_atom_site_label
_atom_site_type_symbol
_atom_site_fract_x
_atom_site_fract_y
_atom_site_fract_z
Ca1 Ca 0.0000 0.0000 0.0000
Ca2 Ca 0.0000 0.0000 0.2322
Mg1 Mg 0.0000 0.0000 0.7502
Tl1 Tl 0.0000 0.0000 0.4866
# Relative energy among the computed polymorphs in meV/atom: 226.8
# DFT total energy in eV per atom: -2.05
# Density in g/cm3: 3.89
# Energy of formation from the pure elements in meV/atom: -61

---

(6)
# GGA-PBE CaMgTl2, optimized geometry
data_CaMgTl2
_cell_length_a 7.665
_cell_length_b 7.665
_cell_length_c 7.665
_cell_angle_alpha 90.00
_cell_angle_beta 90.00
_cell_angle_gamma 90.00
_space_group_name_H-M_alt 'F -4 3 m'
_space_group_IT_number 216
_space_group_name_Hall 'F -4 2 3'
loop_
_atom_site_label
_atom_site_type_symbol
_atom_site_fract_x
_atom_site_fract_y
_atom_site_fract_z
Ca1 Ca 0.000 0.000 0.000
Mg1 Mg 0.250 0.250 0.250
Tl1 Tl 0.000 0.000 0.500
Tl2 Tl 0.250 0.250 0.750
# Relative energy among the computed polymorphs in meV/atom: 161.4
# DFT total energy in eV per atom: -2.20
# Density in g/cm3: 6.98
# Energy of formation from the pure elements in meV/atom: -118

---

(7)
# GGA-PBE CaMgTl3, optimized geometry
data_CaMgTl3
_cell_length_a 5.480
_cell_length_b 5.480
_cell_length_c 5.480
_cell_angle_alpha 90.00
_cell_angle_beta 90.00
_cell_angle_gamma 90.00
_space_group_name_H-M_alt 'P m -3 m'
_space_group_IT_number 221
_space_group_name_Hall '-P 4 2 3'
loop_
_atom_site_label
_atom_site_type_symbol
_atom_site_fract_x
_atom_site_fract_y
_atom_site_fract_z
Ca1 Ca 0.000 0.000 0.000
Mg1 Mg 0.500 0.500 0.500
Tl1 Tl 0.000 0.500 0.500
# Relative energy among the computed polymorphs in meV/atom: 213.0
# DFT total energy in eV per atom: -2.07
# Density in g/cm3: 6.84
# Energy of formation from the pure elements in meV/atom: 67

---

(8)
# GGA-PBE Ca2MgTl7, optimized geometry
data_Ca2MgTl7
_cell_length_a 11.312
_cell_length_b 11.312
_cell_length_c 11.312
_cell_angle_alpha 90.00
_cell_angle_beta 90.00
_cell_angle_gamma 90.00
_space_group_name_H-M_alt 'F m -3 m'
_space_group_IT_number 225
_space_group_name_Hall '-F 4 2 3'
loop_
_atom_site_label
_atom_site_type_symbol
_atom_site_fract_x
_atom_site_fract_y
_atom_site_fract_z
Ca1 Ca 0.250 0.250 0.250
Mg1 Mg 0.000 0.000 0.000
Tl1 Tl 0.000 0.000 0.243
Tl2 Tl 0.000 0.000 0.500
# DFT total energy in eV per atom: -2.05
# Density in g/cm3: 7.04
# Energy of formation from the pure elements in meV/atom: 167

---

(9)
# GGA-PBE Ca2MgTl, optimized geometry
data_Ca2MgTl
_cell_length_a 7.784
_cell_length_b 7.784
_cell_length_c 7.784
_cell_angle_alpha 90.00
_cell_angle_beta 90.00
_cell_angle_gamma 90.00
_space_group_name_H-M_alt 'F m -3 m'
_space_group_IT_number 225
_space_group_name_Hall '-F 4 2 3'
loop_
_atom_site_label
_atom_site_type_symbol
_atom_site_fract_x
_atom_site_fract_y
_atom_site_fract_z
Ca1 Ca 0.250 0.250 0.250
Mg1 Mg 0.000 0.000 0.000
Tl1 Tl 0.000 0.000 0.500
# Relative energy among the computed polymorphs in meV/atom: 0.0
# DFT total energy in eV per atom: -2.28
# Density in g/cm3: 4.35
# Energy of formation from the pure elements in meV/atom: -288

---

(10)
# GGA-PBE Ca2MgTl3, optimized geometry
data_Ca2MgTl3
_cell_length_a 7.369
_cell_length_b 10.357
_cell_length_c 17.848
_cell_angle_alpha 90.00
_cell_angle_beta 90.00
_cell_angle_gamma 90.00
_space_group_name_H-M_alt 'F m m m'
_space_group_IT_number 69
_space_group_name_Hall '-F 2 2'
loop_
_atom_site_label
_atom_site_type_symbol
_atom_site_fract_x
_atom_site_fract_y
_atom_site_fract_z
Ca1 Ca 0.244 0.000 0.000
Ca2 Ca 0.250 0.250 0.250
Mg1 Mg 0.000 0.000 0.333
Tl1 Tl 0.000 0.000 0.171
Tl2 Tl 0.000 0.242 0.414
# Relative energy among the computed polymorphs in meV/atom: 57.2
# DFT total energy in eV per atom: -2.38
# Density in g/cm3: 7.00
# Energy of formation from the pure elements in meV/atom: -267

---

(11)
# GGA-PBE Ca2Mg3Tl2, optimized geometry
data_Ca2Mg3Tl2
_cell_length_a 11.317
_cell_length_b 4.800
_cell_length_c 7.451
_cell_angle_alpha 90.00
_cell_angle_beta 102.04
_cell_angle_gamma 90.00
_space_group_name_H-M_alt 'C 1 2/m 1'
_space_group_IT_number 12
_space_group_name_Hall '-C 2y'
loop_
_atom_site_label
_atom_site_type_symbol
_atom_site_fract_x
_atom_site_fract_y
_atom_site_fract_z
Ca1 Ca 0.116 0.000 0.355
Mg1 Mg 0.000 0.500 0.000
Mg2 Mg 0.190 0.000 0.889
Tl1 Tl 0.107 0.500 0.676
# DFT total energy in eV per atom: -2.12
# Density in g/cm3: 4.71
# Energy of formation from the pure elements in meV/atom: -189

---

(12)
# GGA-PBE Ca3MgTl12, optimized geometry
data_Ca3MgTl12
_cell_length_a 4.924
_cell_length_b 4.924
_cell_length_c 18.828
_cell_angle_alpha 90.00
_cell_angle_beta 90.00
_cell_angle_gamma 90.00
_space_group_name_H-M_alt 'P 4/m m m'
_space_group_IT_number 123
_space_group_name_Hall '-P 4 2'
loop_
_atom_site_label
_atom_site_type_symbol
_atom_site_fract_x
_atom_site_fract_y
_atom_site_fract_z
Ca1 Ca 0.000 0.000 0.000
Ca2 Ca 0.000 0.000 0.253
Mg1 Mg 0.000 0.000 0.500
Tl1 Tl 0.000 0.500 0.126
Tl2 Tl 0.000 0.500 0.381
Tl3 Tl 0.500 0.500 0.000
Tl4 Tl 0.500 0.500 0.251
Tl5 Tl 0.500 0.500 0.500
# DFT total energy in eV per atom: -2.41
# Density in g/cm3: 9.45
# Energy of formation from the pure elements in meV/atom: -165

---

(13)
# GGA-PBE Ca4MgTl, optimized geometry
data_Ca4MgTl
_cell_length_a 5.470
_cell_length_b 5.470
_cell_length_c 7.826
_cell_angle_alpha 90.00
_cell_angle_beta 90.07
_cell_angle_gamma 90.00
_space_group_name_H-M_alt 'P 1 m 1'
_space_group_IT_number 6
_space_group_name_Hall 'P -2y'
loop_
_atom_site_label
_atom_site_type_symbol
_atom_site_fract_x
_atom_site_fract_y
_atom_site_fract_z
Ca1 Ca 0.000 0.000 0.000
Ca2 Ca 0.000 0.000 0.466
Ca3 Ca 0.500 0.500 0.000
Ca4 Ca 0.500 0.500 0.466
Mg1 Mg 0.499 0.000 0.734
Tl1 Tl 0.000 0.500 0.233
# Relative energy among the computed polymorphs in meV/atom: 122.4
# DFT total energy in eV per atom: -2.01
# Density in g/cm3: 2.76
# Energy of formation from the pure elements in meV/atom: -14

---

(14)
# GGA-PBE Ca2Mg5Tl4, optimized geometry
data_Ca2Mg5Tl4
_cell_length_a 6.210
_cell_length_b 10.459
_cell_length_c 19.349
_cell_angle_alpha 90.00
_cell_angle_beta 90.00
_cell_angle_gamma 90.00
_space_group_name_H-M_alt 'F m m m'
_space_group_IT_number 69
_space_group_name_Hall '-F 2 2'
loop_
_atom_site_label
_atom_site_type_symbol
_atom_site_fract_x
_atom_site_fract_y
_atom_site_fract_z
Ca1 Ca 0.000 0.000 0.109
Mg1 Mg 0.000 0.000 0.500
Mg2 Mg 0.250 0.250 0.000
Mg3 Mg 0.250 0.250 0.250
Tl1 Tl 0.000 0.159 0.370
# DFT total energy in eV per atom: -2.04
# Density in g/cm3: 5.39
# Energy of formation from the pure elements in meV/atom: -90

---

(15)
# GGA-PBE Ca5Mg4Tl, optimized geometry
data_Ca5Mg4Tl
_cell_length_a 3.956
_cell_length_b 3.956
_cell_length_c 19.607
_cell_angle_alpha 90.00
_cell_angle_beta 90.00
_cell_angle_gamma 90.00
_space_group_name_H-M_alt 'P 4/m m m'
_space_group_IT_number 123
_space_group_name_Hall '-P 4 2'
loop_
_atom_site_label
_atom_site_type_symbol
_atom_site_fract_x
_atom_site_fract_y
_atom_site_fract_z
Ca1 Ca 0.000 0.000 0.000
Ca2 Ca 0.000 0.000 0.202
Ca3 Ca 0.000 0.000 0.404
Mg1 Mg 0.500 0.500 0.100
Mg2 Mg 0.500 0.500 0.302
Tl1 Tl 0.500 0.500 0.500
# DFT total energy in eV per atom: -2.04
# Density in g/cm3: 2.72
# Energy of formation from the pure elements in meV/atom: -161

---

(16)
# GGA-PBE Ca2MgTl8, optimized geometry
data_Ca2MgTl8
_cell_length_a 4.979
_cell_length_b 4.979
_cell_length_c 12.926
_cell_angle_alpha 90.00
_cell_angle_beta 90.00
_cell_angle_gamma 90.00
_space_group_name_H-M_alt 'P 4/m m m'
_space_group_IT_number 123
_space_group_name_Hall '-P 4 2'
loop_
_atom_site_label
_atom_site_type_symbol
_atom_site_fract_x
_atom_site_fract_y
_atom_site_fract_z
Ca1 Ca 0.000 0.000 0.185
Mg1 Mg 0.000 0.000 0.500
Tl1 Tl 0.000 0.500 0.000
Tl2 Tl 0.000 0.500 0.366
Tl3 Tl 0.500 0.500 0.185
# DFT total energy in eV per atom: -2.39
# Density in g/cm3: 9.01
# Energy of formation from the pure elements in meV/atom: -161

---

(17)
# GGA-PBE Ca2MgTl, optimized geometry
data_Ca2MgTl
_cell_length_a 3.969
_cell_length_b 5.465
_cell_length_c 5.464
_cell_angle_alpha 90.00
_cell_angle_beta 90.00
_cell_angle_gamma 90.00
_space_group_name_H-M_alt 'P m m 2'
_space_group_IT_number 25
_space_group_name_Hall 'P 2 -2'
loop_
_atom_site_label
_atom_site_type_symbol
_atom_site_fract_x
_atom_site_fract_y
_atom_site_fract_z
Ca1 Ca 0.000 0.000 0.000
Ca2 Ca 0.000 0.500 0.498
Mg1 Mg 0.500 0.000 0.501
Tl1 Tl 0.500 0.500 0.997
# Relative energy among the computed polymorphs in meV/atom: 5.0
# DFT total energy in eV per atom: -2.27
# Density in g/cm3: 4.33
# Energy of formation from the pure elements in meV/atom: -283

---

(18)
# GGA-PBE Ca5MgTl3, optimized geometry
data_Ca5MgTl3
_cell_length_a 9.6566
_cell_length_b 9.6566
_cell_length_c 6.8421
_cell_angle_alpha 90.00
_cell_angle_beta 90.00
_cell_angle_gamma 120.00
_space_group_name_H-M_alt 'P 63/m c m'
_space_group_IT_number 193
_space_group_name_Hall '-P 6c 2'
loop_
_atom_site_label
_atom_site_type_symbol
_atom_site_fract_x
_atom_site_fract_y
_atom_site_fract_z
Ca1 Ca 0.0000 0.3043 0.2500
Ca2 Ca 0.3333 0.6667 0.0000
Mg1 Mg 0.0000 0.0000 0.0000
Tl1 Tl 0.0000 0.3616 0.7500
# DFT total energy in eV per atom: -2.38
# Density in g/cm3: 5.04
# Energy of formation from the pure elements in meV/atom: -304

---

(19)
# GGA-PBE CaMg6Tl12, optimized geometry
data_CaMg6Tl12
_cell_length_a 13.1552
_cell_length_b 13.1552
_cell_length_c 10.7814
_cell_angle_alpha 90.00
_cell_angle_beta 90.00
_cell_angle_gamma 120.00
_space_group_name_H-M_alt 'R -3'
_space_group_IT_number 148
_space_group_name_Hall '-R 3'
loop_
_atom_site_label
_atom_site_type_symbol
_atom_site_fract_x
_atom_site_fract_y
_atom_site_fract_z
Ca1 Ca 0.0000 0.0000 0.0000
Mg1 Mg 0.0163 0.2552 0.5151
Tl1 Tl 0.0435 0.4845 0.6324
Tl2 Tl 0.0802 0.1752 0.2653
# Relative energy among the computed polymorphs in meV/atom: 28.4
# DFT total energy in eV per atom: -2.12
# Density in g/cm3: 8.13
# Energy of formation from the pure elements in meV/atom: -12

---

(20)
# GGA-PBE Ca2Mg2Tl7, optimized geometry
data_Ca2Mg2Tl7
_cell_length_a 11.292
_cell_length_b 11.204
_cell_length_c 5.944
_cell_angle_alpha 90.00
_cell_angle_beta 121.44
_cell_angle_gamma 90.00
_space_group_name_H-M_alt 'C 1 2/m 1'
_space_group_IT_number 12
_space_group_name_Hall '-C 2y'
loop_
_atom_site_label
_atom_site_type_symbol
_atom_site_fract_x
_atom_site_fract_y
_atom_site_fract_z
Ca1 Ca 0.000 0.180 0.000
Mg1 Mg 0.222 0.500 0.484
Tl1 Tl 0.000 0.000 0.500
Tl2 Tl 0.117 0.500 0.892
Tl3 Tl 0.170 0.251 0.671
# DFT total energy in eV per atom: -2.27
# Density in g/cm3: 8.07
# Energy of formation from the pure elements in meV/atom: -111

---

(21)
# GGA-PBE Ca2MgTl3, optimized geometry
data_Ca2MgTl3
_cell_length_a 5.380
_cell_length_b 16.149
_cell_length_c 7.628
_cell_angle_alpha 90.00
_cell_angle_beta 90.00
_cell_angle_gamma 90.00
_space_group_name_H-M_alt 'C m m m'
_space_group_IT_number 65
_space_group_name_Hall '-C 2 2'
loop_
_atom_site_label
_atom_site_type_symbol
_atom_site_fract_x
_atom_site_fract_y
_atom_site_fract_z
Ca1 Ca 0.000 0.000 0.000
Ca2 Ca 0.000 0.000 0.500
Ca3 Ca 0.000 0.336 0.000
Mg1 Mg 0.000 0.339 0.500
Tl1 Tl 0.000 0.174 0.273
Tl2 Tl 0.000 0.500 0.263
# Relative energy among the computed polymorphs in meV/atom: 0.0
# DFT total energy in eV per atom: -2.44
# Density in g/cm3: 7.19
# Energy of formation from the pure elements in meV/atom: -324

---

(22)
# GGA-PBE Ca6Mg5Tl, optimized geometry
data_Ca6Mg5Tl
_cell_length_a 5.552
_cell_length_b 7.928
_cell_length_c 16.696
_cell_angle_alpha 90.00
_cell_angle_beta 90.00
_cell_angle_gamma 90.00
_space_group_name_H-M_alt 'I m m m'
_space_group_IT_number 71
_space_group_name_Hall '-I 2 2'
loop_
_atom_site_label
_atom_site_type_symbol
_atom_site_fract_x
_atom_site_fract_y
_atom_site_fract_z
Ca1 Ca 0.000 0.242 0.000
Ca2 Ca 0.000 0.254 0.336
Mg1 Mg 0.000 0.000 0.173
Mg2 Mg 0.000 0.000 0.500
Mg3 Mg 0.000 0.500 0.166
Tl1 Tl 0.000 0.500 0.500
# DFT total energy in eV per atom: -2.02
# Density in g/cm3: 2.56
# Energy of formation from the pure elements in meV/atom: -155